AcVAs2O8 (GGA+U, relaxed); V = 172 Å³/cell; final energy = -81.748 eV/cell; magnetic moment = 2.0 μB/f.u.
1.0
-3.695 3.695 3.153
3.695 -3.695 3.153
3.695 3.695 -3.153
Ac V As O
1 1 2 8
Direct
0.000 0.000 0.000
0.250 0.750 0.500
0.500 0.500 0.000
0.750 0.250 0.500
0.337 0.148 0.811
0.337 0.526 0.189
0.391 0.058 0.333
0.474 0.663 0.811
0.725 0.058 0.667
0.852 0.663 0.189
0.942 0.275 0.333
0.942 0.609 0.667